(1)
Ac2SiNi6Sn after structural relaxation, computed with PBE.

a = 6.783 Å, b = 6.252 Å, c = 5.277 Å
α = 65.02°, β = 67.10°, γ = 86.01°
Element x y z (fractional)
Ni1 0.095 0.602 0.150
Ni2 0.797 0.726 0.996
Ni3 0.203 0.274 0.004
Ni4 0.798 0.726 0.480
Ni5 0.202 0.274 0.520
Ni6 0.905 0.398 0.850
Sn1 0.500 0.500 0.000
Si1 0.000 0.000 0.000
Ac1 0.284 0.807 0.454
Ac2 0.716 0.193 0.546

Its space-group type is P-1. The value obtained for the formation energy without anion corrections is -0.40 eV per atom. The calculation puts the total magnetization at 0.00 μB/f.u. Its total energy is -5.64 eV/atom.

***

(2)
K2ZrBr after structural relaxation, computed with PBE.

a = 10.492 Å, b = 10.492 Å, c = 10.492 Å
α = 161.07°, β = 154.74°, γ = 31.75°
Site moments in Bohr magnetons follow the coordinates.
Element x y z (fractional)
K1 0.906 0.906 0.000  0.01
K2 0.594 0.594 0.000  0.01
Zr1 0.250 0.750 0.500  0.95
Br1 0.750 0.250 0.500  0.01

Its space-group type is Immm. The value obtained for the formation energy without anion corrections is 0.13 eV per atom. The calculation puts the total magnetization at 1.81 μB/f.u. Its total energy is -2.97 eV/atom.

***

(3)
CsY3Mn after structural relaxation, computed with PBE.

a = 5.600 Å, b = 5.600 Å, c = 5.600 Å
α = 90.00°, β = 90.00°, γ = 90.00°
Site moments in Bohr magnetons follow the coordinates.
Element x y z (fractional)
Y1 0.500 0.000 0.000  0.08
Y2 0.000 0.500 0.000  0.01
Y3 0.000 0.000 0.500  -0.05
Cs1 0.000 0.000 0.000  -0.04
Mn1 0.500 0.500 0.500  -4.30

Its space-group type is Pm-3m. The calculation puts the total magnetization at 4.40 μB/f.u. The value obtained for the formation energy is 1551 meV per atom. Its total energy is -4.33 eV/atom.